A plane-wave DFT calculation with PBE-GGA was carried out for crystalline BaGeBi2 at its relaxed geometry.

ΔH_f (0 K) in eV per atom: -0.12
Distance to the lowest polymorph of the same formula in meV/atom: 174

a = 8.0951 Å, b = 8.0951 Å, c = 8.0951 Å
α = 90.00°, β = 90.00°, γ = 90.00°
Closest atoms and distances in Å follow each position.
Space group Fm-3m (No. 225)
Asymmetric unit:
Ba 0.0000 0.0000 0.0000 [4 per cell]  8 Bi 3.51
Ge 0.0000 0.0000 0.5000 [4 per cell]  8 Bi 3.51
Bi 0.2500 0.2500 0.2500 [8 per cell]  4 Ge 3.51, 4 Ba 3.51



A plane-wave DFT calculation with PBE-GGA was carried out for crystalline Ba2GeBi2 at its relaxed geometry.

ΔH_f (0 K) in eV per atom: -0.63
Distance to the lowest polymorph of the same formula in meV/atom: 0

a = 13.1268 Å, b = 4.8843 Å, c = 13.1856 Å
α = 90.00°, β = 113.94°, γ = 90.00°
Closest atoms and distances in Å follow each position.
Space group C2/m (No. 12)
Asymmetric unit:
Ba 0.0788 0.0000 0.4009 [4 per cell]  2 Ge 3.54, 6 Bi 3.62-3.86, 1 Ba 3.94
Ba 0.1943 0.5000 0.1460 [4 per cell]  7 Bi 3.70-3.85, 3 Ge 3.74-3.88
Ge 0.0733 0.5000 0.7967 [4 per cell]  3 Bi 2.84-2.94
Bi 0.0489 0.0000 0.9083 [4 per cell]  2 Ge 2.94, 1 Bi 3.16
Bi 0.1598 0.5000 0.6308 [4 per cell]  1 Ge 2.84



A plane-wave DFT calculation with PBE-GGA was carried out for crystalline BaGe2Bi2 at its relaxed geometry.

ΔH_f (0 K) in eV per atom: -0.03
Distance to the lowest polymorph of the same formula in meV/atom: 218

a = 8.8601 Å, b = 8.8601 Å, c = 3.9259 Å
α = 90.00°, β = 90.00°, γ = 90.00°
Closest atoms and distances in Å follow each position.
Space group P4/mbm (No. 127)
Asymmetric unit:
Ba 0.0000 0.0000 0.0000 [2 per cell]  4 Bi 3.47
Ge 0.1479 0.3521 0.5000 [4 per cell]  6 Bi 3.15-3.40
Bi 0.1301 0.6301 0.0000 [4 per cell]  6 Ge 3.15-3.40, 1 Bi 3.26, 2 Ba 3.47



A plane-wave DFT calculation with PBE-GGA was carried out for crystalline Ba4Ge2Bi5 at its relaxed geometry.

ΔH_f (0 K) in eV per atom: -0.63

a = 8.0947 Å, b = 5.0898 Å, c = 9.9048 Å
α = 90.00°, β = 95.47°, γ = 90.00°
Closest atoms and distances in Å follow each position.
Space group P2/m (No. 10)
Asymmetric unit:
Ba 0.2182 0.0000 0.3652 [2 per cell]  8 Bi 3.59-3.83, 2 Ge 3.63
Ba 0.2421 0.0000 0.9049 [2 per cell]  4 Ge 3.57-3.70, 6 Bi 3.76-3.80
Ge 0.0691 0.5000 0.1228 [2 per cell]  1 Ge 2.58, 1 Bi 2.88
Bi 0.1348 0.5000 0.6311 [2 per cell]  1 Ge 3.07, 2 Bi 3.23-3.34
Bi 0.4263 0.5000 0.1601 [2 per cell]  1 Ge 2.88
Bi 0.5000 0.5000 0.5000 [1 per cell]  4 Bi 3.34-3.36, 4 Ba 3.59



A plane-wave DFT calculation with PBE-GGA was carried out for crystalline BaGeBi at its relaxed geometry.

ΔH_f (0 K) in eV per atom: -0.54
Distance to the lowest polymorph of the same formula in meV/atom: 0

a = 18.1362 Å, b = 5.0165 Å, c = 4.7922 Å
α = 90.00°, β = 105.09°, γ = 90.00°
Closest atoms and distances in Å follow each position.
Space group C2/m (No. 12)
Asymmetric unit:
Ba 0.1176 0.0000 0.3662 [4 per cell]  6 Ge 3.60-3.79, 4 Bi 3.70
Ge 0.0302 0.5000 0.7800 [4 per cell]  2 Ge 2.62, 1 Bi 2.82
Bi 0.1911 0.5000 0.9372 [4 per cell]  1 Ge 2.82



A plane-wave DFT calculation with PBE-GGA was carried out for crystalline Ba6Ge2Bi at its relaxed geometry.

ΔH_f (0 K) in eV per atom: -0.54

a = 11.0149 Å, b = 11.6783 Å, c = 12.0682 Å
α = 90.00°, β = 90.00°, γ = 90.00°
Closest atoms and distances in Å follow each position.
Space group Immm (No. 71)
Asymmetric unit:
Ba 0.0000 0.2094 0.2251 [8 per cell]  1 Ge 3.38, 1 Bi 3.66
Ba 0.2002 0.5000 0.1774 [8 per cell]  3 Ge 3.37-3.39
Ba 0.2153 0.3180 0.5000 [8 per cell]  2 Ge 3.45, 1 Bi 3.79
Ge 0.0000 0.3822 0.0000 [4 per cell]  1 Ge 2.75
Ge 0.0000 0.5000 0.3902 [4 per cell]  1 Ge 2.65
Bi 0.0000 0.0000 0.0000 [2 per cell]  8 Ba 3.66-3.79
Bi 0.0000 0.0000 0.5000 [2 per cell]  12 Ba 3.94-4.41



A plane-wave DFT calculation with PBE-GGA was carried out for crystalline BaGeBi at its relaxed geometry.

ΔH_f (0 K) in eV per atom: -0.41
Distance to the lowest polymorph of the same formula in meV/atom: 130

a = 9.4118 Å, b = 5.1015 Å, c = 9.6915 Å
α = 90.00°, β = 101.02°, γ = 90.00°
Closest atoms and distances in Å follow each position.
Space group C2/m (No. 12)
Asymmetric unit:
Ba 0.0356 0.0000 0.2694 [4 per cell]  5 Ge 3.36-3.68
Ge 0.1237 0.5000 0.5457 [4 per cell]  1 Ge 2.33
Bi 0.1662 0.5000 0.0279 [4 per cell]  3 Bi 3.07-3.10



A plane-wave DFT calculation with PBE-GGA was carried out for crystalline BaGeBi2 at its relaxed geometry.

ΔH_f (0 K) in eV per atom: -0.10
Distance to the lowest polymorph of the same formula in meV/atom: 187

a = 4.3076 Å, b = 4.3076 Å, c = 26.4991 Å
α = 90.00°, β = 90.00°, γ = 120.00°
Closest atoms and distances in Å follow each position.
Space group R-3m (No. 166, hexagonal axes)
Asymmetric unit:
Ba 0.0000 0.0000 0.0000 [3 per cell]  6 Bi 3.67
Ge 0.0000 0.0000 0.5000 [3 per cell]  6 Bi 3.02
Bi 0.0000 0.0000 0.2312 [6 per cell]  3 Ge 3.02



A plane-wave DFT calculation with PBE-GGA was carried out for crystalline Ba3Ge2Bi at its relaxed geometry.

ΔH_f (0 K) in eV per atom: -0.66

a = 4.2263 Å, b = 11.4395 Å, c = 9.5466 Å
α = 90.00°, β = 90.00°, γ = 90.00°
Closest atoms and distances in Å follow each position.
Space group Pmc2_1 (No. 26)
Asymmetric unit:
Ba 0.0000 0.0932 0.0000 [2 per cell]  6 Ge 3.44-3.48, 1 Bi 3.60
Ba 0.5000 0.2289 0.3826 [2 per cell]  4 Ge 3.38-3.74, 2 Bi 3.70
Ba 0.5000 0.3871 0.8090 [2 per cell]  3 Ge 3.48-3.84, 4 Bi 3.72-3.74
Ge 0.0000 0.1832 0.6533 [2 per cell]  2 Ge 2.62
Ge 0.5000 0.0598 0.7182 [2 per cell]  2 Ge 2.62
Bi 0.0000 0.3887 0.1291 [2 per cell]  7 Ba 3.60-3.74



A plane-wave DFT calculation with PBE-GGA was carried out for crystalline BaGeBi3 at its relaxed geometry.

ΔH_f (0 K) in eV per atom: 1.11
Distance to the lowest polymorph of the same formula in meV/atom: 1154

a = 6.2662 Å, b = 6.2662 Å, c = 6.2662 Å
α = 90.00°, β = 90.00°, γ = 90.00°
Closest atoms and distances in Å follow each position.
Space group Pm-3m (No. 221)
Asymmetric unit:
Ba 0.0000 0.0000 0.0000 [1 per cell]  6 Bi 3.13
Ge 0.5000 0.5000 0.5000 [1 per cell]  12 Bi 4.43
Bi 0.0000 0.0000 0.5000 [3 per cell]  2 Ba 3.13



A plane-wave DFT calculation with PBE-GGA was carried out for crystalline BaGe2Bi2 at its relaxed geometry.

ΔH_f (0 K) in eV per atom: -0.13
Distance to the lowest polymorph of the same formula in meV/atom: 114

a = 4.7784 Å, b = 4.7784 Å, c = 14.6057 Å
α = 90.00°, β = 90.00°, γ = 90.00°
Closest atoms and distances in Å follow each position.
Space group I4/mmm (No. 139)
Asymmetric unit:
Ba 0.0000 0.0000 0.0000 [2 per cell]  8 Bi 3.79
Ge 0.0000 0.5000 0.2500 [4 per cell]  4 Bi 3.07, 4 Ge 3.38
Bi 0.0000 0.0000 0.3818 [4 per cell]  4 Ge 3.07



A plane-wave DFT calculation with PBE-GGA was carried out for crystalline BaHgGeBi at its relaxed geometry.

ΔH_f (0 K) in eV per atom: -0.28

a = 7.8802 Å, b = 7.8802 Å, c = 7.8802 Å
α = 90.00°, β = 90.00°, γ = 90.00°
Closest atoms and distances in Å follow each position.
Space group F-43m (No. 216)
Asymmetric unit:
Ba 0.0000 0.0000 0.0000 [4 per cell]  4 Hg 3.41, 4 Ge 3.41
Hg 0.2500 0.2500 0.7500 [4 per cell]  4 Ba 3.41, 4 Bi 3.41
Ge 0.2500 0.2500 0.2500 [4 per cell]  4 Ba 3.41, 4 Bi 3.41
Bi 0.0000 0.0000 0.5000 [4 per cell]  4 Ge 3.41, 4 Hg 3.41